Density functional theory data (PBE) for SmTm2TlN after structural relaxation.

Output
Electronic total energy: -5.787 eV per atom
Total magnetization: 0.0000 μB per atom

Unit cell a=4.751 b=4.751 c=4.946 alpha=90.00 beta=90.00 gamma=90.00
Fractional positions:
Sm1 0.000 0.000 0.000
Tm1 0.000 0.500 0.500
Tm2 0.500 0.000 0.500
Tl1 0.500 0.500 0.000
N1 0.000 0.000 0.500